Entry 1:
CsTaAs2Se | GGA-PBE | optimized geometry

The structure in CIF format:
```
data_CsTaAs2Se
_chemical_formula_sum 'Cs1 Ta1 As2 Se1'
_symmetry_space_group_name_H-M 'P 4/m m m'
_symmetry_Int_Tables_number 123
_symmetry_space_group_name_Hall '-P 4 2'
_cell_length_a 5.1167
_cell_length_b 5.1167
_cell_length_c 5.2557
_cell_angle_alpha 90.00
_cell_angle_beta 90.00
_cell_angle_gamma 90.00
loop_
_atom_site_label
_atom_site_type_symbol
_atom_site_fract_x
_atom_site_fract_y
_atom_site_fract_z
Cs1 Cs 0.0000 0.0000 0.0000
Ta1 Ta 0.5000 0.5000 0.5000
As1 As 0.0000 0.5000 0.5000
Se1 Se 0.5000 0.5000 0.0000
```

M_tot = 0.00 μB per formula unit
crystal system = tetragonal
uncorrected formation energy = -0.298 eV/atom

---

Entry 2:
Sn2PdS6 | GGA-PBE | optimized geometry

The structure in CIF format:
```
data_Sn2PdS6
_chemical_formula_sum 'Sn4 Pd2 S12'
_symmetry_space_group_name_H-M 'P 42/m n m'
_symmetry_Int_Tables_number 136
_symmetry_space_group_name_Hall '-P 4n 2n'
_cell_length_a 5.9734
_cell_length_b 5.9734
_cell_length_c 11.3352
_cell_angle_alpha 90.00
_cell_angle_beta 90.00
_cell_angle_gamma 90.00
loop_
_atom_site_label
_atom_site_type_symbol
_atom_site_fract_x
_atom_site_fract_y
_atom_site_fract_z
Sn1 Sn 0.0000 0.0000 0.1666
Pd1 Pd 0.0000 0.0000 0.5000
S1 S 0.1856 0.1856 0.3409
S2 S 0.2013 0.2013 0.0000
```

M_tot = 0.00 μB per formula unit
crystal system = tetragonal
uncorrected formation energy = -0.080 eV/atom

---

Entry 3:
Ti3VC2 | GGA-PBE | optimized geometry

The structure in CIF format:
```
data_Ti3VC2
_chemical_formula_sum 'Ti12 V4 C8'
_symmetry_space_group_name_H-M 'I m m a'
_symmetry_Int_Tables_number 74
_symmetry_space_group_name_Hall '-I 2b 2'
_cell_length_a 6.1720
_cell_length_b 7.1537
_cell_length_c 6.8953
_cell_angle_alpha 90.00
_cell_angle_beta 90.00
_cell_angle_gamma 90.00
loop_
_atom_site_label
_atom_site_type_symbol
_atom_site_fract_x
_atom_site_fract_y
_atom_site_fract_z
Ti1 Ti 0.0000 0.2500 0.0430
Ti2 Ti 0.2500 0.0472 0.7500
V1 V 0.0000 0.2500 0.4446
C1 C 0.0000 0.2500 0.7388
C2 C 0.2500 0.2500 0.2500
```

M_tot = 0.00 μB per formula unit
crystal system = orthorhombic
energy of formation = -0.590 eV per atom

---

Q: Look up the M_tot of the first one.
A: 0.00 μB per formula unit

---

Q: Look up the M_tot of the first one.
A: 0.00 μB per formula unit